Entry 1:
An optimized crystal structure of CrSiMo4. Source: Alexandria, functional PBE.

```
CrSiMo4
1.0
0.0000 3.6480 3.6480
3.6480 0.0000 3.6480
3.6480 3.6480 0.0000
Cr Si Mo
1 1 4
direct
0.0000 0.0000 0.0000 Cr
0.2500 0.2500 0.2500 Si
0.6245 0.6245 0.1266 Mo
0.6245 0.1266 0.6245 Mo
0.6245 0.6245 0.6245 Mo
0.1266 0.6245 0.6245 Mo
```

## Properties
E_form (uncorrected) (eV/atom): 0.5254
Symmetry: F-43m (216)

***

Entry 2:
An optimized crystal structure of CoSi2Ni. Source: Alexandria, functional PBE.

```
CoSi2Ni
1.0
4.3260 0.0011 -0.0020
3.3704 2.7120 -0.0020
0.9249 0.3260 3.8203
Co Ni Si
1 1 2
direct
0.4888 0.4888 0.5688 Co
0.2584 0.2584 0.1882 Ni
0.9973 0.9973 0.0535 Si
0.7555 0.7555 0.6895 Si
```

## Properties
E_form (uncorrected) (eV/atom): -0.4505
Symmetry: Cm (8)

***

Entry 3:
An optimized crystal structure of Tl2HgH2. Source: Alexandria, functional PBE.

```
Tl2HgH2
1.0
8.2624 0.0000 0.0000
0.0000 8.2624 0.0000
0.0000 0.0000 3.2476
H Tl Hg
4 4 2
direct
0.1050 0.6050 0.5000 H
0.6050 0.8950 0.5000 H
0.8950 0.3950 0.5000 H
0.3950 0.1050 0.5000 H
0.3653 0.8653 0.0000 Tl
0.8653 0.6347 0.0000 Tl
0.6347 0.1347 0.0000 Tl
0.1347 0.3653 0.0000 Tl
0.0000 0.0000 0.0000 Hg
0.5000 0.5000 0.0000 Hg
```

## Properties
E above lowest polymorph (eV per atom): 0.374
Symmetry: P4/mbm (127)

***

These records have final energy values of -9.203 -6.384 -1.937 eV/atom, in the order they appear.